## MgZrBr3 (PBE)

Data for a relaxed MgZrBr3 crystal.

The space group is Pm-3m (No. 221) and the conventional cell measures 5.393, 5.393 and 5.393 Å, with angles of 90.00, 90.00 and 90.00 degrees. The asymmetric unit holds Mg at (0.000, 0.000, 0.000), Zr at (0.500, 0.500, 0.500) and Br at (0.000, 0.500, 0.500).

Its excess energy over the best structure of this formula in the dataset is 0 meV/atom. Its crystal system is cubic. The uncorrected formation energy comes out at -629 meV/atom. As for the calculated density: 3.76 g/cm³.